An optimized crystal structure of Pm2PbAu3, computed with PBE. Values from VASP.

Summary:
* formation enthalpy at 0 K: -0.635 eV/atom

Cell and atoms, written as Quantum ESPRESSO input:
```
&SYSTEM
  ibrav = 0, nat = 6, ntyp = 3
/
ATOMIC_SPECIES
Pm 145.00 Pm.upf
Pb 207.20 Pb.upf
Au 196.97 Au.upf
CELL_PARAMETERS angstrom
3.780 0.000 0.000
0.000 3.780 0.000
0.000 0.000 10.477
ATOMIC_POSITIONS angstrom
Pm 0.000 0.000 1.830
Pm 0.000 0.000 8.647
Pb 0.000 0.000 5.238
Au 1.890 1.890 0.000
Au 1.890 1.890 3.344
Au 1.890 1.890 7.133
```

An optimized crystal structure of Pm3PbAu4, computed with PBE. Values from VASP.

Summary:
* formation enthalpy at 0 K: -0.622 eV/atom

Cell and atoms, written as Quantum ESPRESSO input:
```
&SYSTEM
  ibrav = 0, nat = 16, ntyp = 3
/
ATOMIC_SPECIES
Pm 145.00 Pm.upf
Pb 207.20 Pb.upf
Au 196.97 Au.upf
CELL_PARAMETERS angstrom
16.743 0.000 0.000
0.000 3.840 0.000
-3.296 0.000 6.666
ATOMIC_POSITIONS angstrom
Pm 0.000 0.000 0.000
Pm 0.854 0.000 4.570
Pm 4.221 1.920 2.095
Pm 8.371 1.920 0.000
Pm 9.226 1.920 4.570
Pm 12.593 0.000 2.095
Pb -1.648 1.920 3.333
Pb 6.723 0.000 3.333
Au 1.208 1.920 2.185
Au -0.822 1.920 6.303
Au 5.897 0.000 0.363
Au 3.868 0.000 4.481
Au 9.579 0.000 2.185
Au 7.550 0.000 6.303
Au 14.269 1.920 0.363
Au 12.239 1.920 4.481
```

An optimized crystal structure of PmPrPbAu, computed with PBE. Values from VASP.

Summary:
* formation enthalpy at 0 K: -0.616 eV/atom

Cell and atoms, written as Quantum ESPRESSO input:
```
&SYSTEM
  ibrav = 0, nat = 16, ntyp = 4
/
ATOMIC_SPECIES
Pm 145.00 Pm.upf
Pr 140.91 Pr.upf
Pb 207.20 Pb.upf
Au 196.97 Au.upf
CELL_PARAMETERS angstrom
7.676 0.000 0.000
0.000 7.676 0.000
0.000 0.000 7.676
ATOMIC_POSITIONS angstrom
Pm 0.000 0.000 0.000
Pm 0.000 3.838 3.838
Pm 3.838 0.000 3.838
Pm 3.838 3.838 0.000
Pr 0.000 0.000 3.838
Pr 0.000 3.838 0.000
Pr 3.838 0.000 0.000
Pr 3.838 3.838 3.838
Pb 1.919 1.919 1.919
Pb 1.919 5.757 5.757
Pb 5.757 1.919 5.757
Pb 5.757 5.757 1.919
Au 1.919 1.919 5.757
Au 1.919 5.757 1.919
Au 5.757 1.919 1.919
Au 5.757 5.757 5.757
```

An optimized crystal structure of PmPuPbAu, computed with PBE. Values from VASP.

Summary:
* formation enthalpy at 0 K: -0.412 eV/atom

Cell and atoms, written as Quantum ESPRESSO input:
```
&SYSTEM
  ibrav = 0, nat = 16, ntyp = 4
/
ATOMIC_SPECIES
Pm 145.00 Pm.upf
Pu 244.00 Pu.upf
Pb 207.20 Pb.upf
Au 196.97 Au.upf
CELL_PARAMETERS angstrom
7.583 0.000 0.000
0.000 7.583 0.000
0.000 0.000 7.583
ATOMIC_POSITIONS angstrom
Pm 0.000 0.000 0.000
Pm 0.000 3.792 3.792
Pm 3.792 0.000 3.792
Pm 3.792 3.792 0.000
Pu 0.000 0.000 3.792
Pu 0.000 3.792 0.000
Pu 3.792 0.000 0.000
Pu 3.792 3.792 3.792
Pb 1.896 1.896 1.896
Pb 1.896 5.688 5.688
Pb 5.688 1.896 5.688
Pb 5.688 5.688 1.896
Au 1.896 1.896 5.688
Au 1.896 5.688 1.896
Au 5.688 1.896 1.896
Au 5.688 5.688 5.688
```

Repeat the fourth record exactly.
An optimized crystal structure of PmPuPbAu, computed with PBE. Values from VASP.

Summary:
* formation enthalpy at 0 K: -0.412 eV/atom

Cell and atoms, written as Quantum ESPRESSO input:
```
&SYSTEM
  ibrav = 0, nat = 16, ntyp = 4
/
ATOMIC_SPECIES
Pm 145.00 Pm.upf
Pu 244.00 Pu.upf
Pb 207.20 Pb.upf
Au 196.97 Au.upf
CELL_PARAMETERS angstrom
7.583 0.000 0.000
0.000 7.583 0.000
0.000 0.000 7.583
ATOMIC_POSITIONS angstrom
Pm 0.000 0.000 0.000
Pm 0.000 3.792 3.792
Pm 3.792 0.000 3.792
Pm 3.792 3.792 0.000
Pu 0.000 0.000 3.792
Pu 0.000 3.792 0.000
Pu 3.792 0.000 0.000
Pu 3.792 3.792 3.792
Pb 1.896 1.896 1.896
Pb 1.896 5.688 5.688
Pb 5.688 1.896 5.688
Pb 5.688 5.688 1.896
Au 1.896 1.896 5.688
Au 1.896 5.688 1.896
Au 5.688 1.896 1.896
Au 5.688 5.688 5.688
```